Run i
Pm4Pd2O: optimized geometry, PBE-GGA.

## Properties
- Symmetry: I4/mmm
- N(E_F): 6.40 states/eV/f.u.

```
7
Lattice="-2.3986 2.3986 7.3984 2.3986 -2.3986 7.3984 2.3986 2.3986 -7.3984" Properties=species:S:1:pos:R:3 pbc="T T T"
Pm 2.3986 0.0000 0.0000
Pm 0.0000 0.0000 2.7282
Pm 0.0000 2.3986 0.0000
Pm 0.0000 0.0000 12.0686
Pd 0.0000 0.0000 5.4996
Pd 0.0000 0.0000 9.2972
O 0.0000 0.0000 0.0000
```


Run ii
Pm4Pd2O: optimized geometry, PBE-GGA.

## Properties
- Symmetry: P2_1/m
- N(E_F): 6.20 states/eV/f.u.

```
14
Lattice="6.8085 0.0000 0.0000 0.0000 7.1269 0.0000 -2.2254 0.0000 7.4851" Properties=species:S:1:pos:R:3 pbc="T T T"
Pm -0.5254 0.0535 1.8793
Pm -0.5254 3.5100 1.8793
Pm 1.5910 1.7817 4.4894
Pm 2.7516 1.7817 0.9045
Pm 1.8315 5.3452 6.5806
Pm 2.9921 5.3452 2.9957
Pm 5.1086 3.6169 5.6058
Pm 5.1086 7.0735 5.6058
Pd 0.2879 5.3452 4.0979
Pd 1.4241 5.3452 0.4806
Pd 3.1590 1.7817 7.0045
Pd 4.2953 1.7817 3.3872
O 0.9363 1.7817 2.2869
O 3.6468 5.3452 5.1981
```


Most stable pick: run ii. Distance to second place: 2.8 kJ/mol of atoms.


Run i
Pm2Pd2O7: optimized geometry, PBE-GGA.

## Properties
- Symmetry: C2/m
- N(E_F): 6.01 states/eV/f.u.

```
11
Lattice="4.4091 -3.4064 0.0000 4.4091 3.4064 0.0000 -0.2808 0.0000 4.7681" Properties=species:S:1:pos:R:3 pbc="T T T"
Pm 4.4091 1.7481 0.0000
Pm 4.4091 -1.7481 0.0000
Pd 1.9960 0.0000 2.5728
Pd 6.5414 0.0000 2.1953
O -0.1404 0.0000 2.3840
O 2.2592 1.4973 1.1947
O 3.7402 0.0000 3.4986
O 2.2592 -1.4973 1.1947
O 6.2782 1.4973 3.5734
O 4.7972 0.0000 1.2695
O 6.2782 -1.4973 3.5734
```


Run ii
Pm2Pd2O7: optimized geometry, PBE-GGA.

## Properties
- Symmetry: Fd-3m

```
22
Lattice="0.0000 5.2210 5.2210 5.2210 0.0000 5.2210 5.2210 5.2210 0.0000" Properties=species:S:1:pos:R:3 pbc="T T T"
Pm 0.0000 0.0000 0.0000
Pm 2.6105 2.6105 0.0000
Pm 2.6105 0.0000 2.6105
Pm 0.0000 2.6105 2.6105
Pd 5.2210 2.6105 2.6105
Pd 2.6105 5.2210 2.6105
Pd 2.6105 2.6105 5.2210
Pd 5.2210 5.2210 5.2210
O 1.3053 1.3053 1.3053
O 3.9158 3.9158 1.7130
O 3.9158 1.7130 3.9158
O 6.1186 3.9158 3.9158
O 6.5263 6.5263 4.3235
O 6.5263 4.3235 6.5263
O 8.7291 6.5263 6.5263
O 1.7130 3.9158 3.9158
O 3.9158 6.1186 3.9158
O 3.9158 3.9158 6.1186
O 4.3235 6.5263 6.5263
O 6.5263 8.7291 6.5263
O 6.5263 6.5263 8.7291
O 9.1368 9.1368 9.1368
```


Most stable pick: run ii. Distance to second place: 37.9 kJ/mol of atoms.